# Tb3As

Tb3As after structural relaxation (PBE, Alexandria).

```
data_Tb3As
_space_group_name_H-M_alt 'I m m 2'
_space_group_IT_number 44
_cell_length_a 3.786
_cell_length_b 11.338
_cell_length_c 5.126
_cell_angle_alpha 90.00
_cell_angle_beta 90.00
_cell_angle_gamma 90.00
loop_
_space_group_symop_operation_xyz
'x,y,z'
'-x,-y,z'
'-x,y,z'
'x,-y,z'
'x+1/2,y+1/2,z+1/2'
'-x+1/2,-y+1/2,z+1/2'
'-x+1/2,y+1/2,z+1/2'
'x+1/2,-y+1/2,z+1/2'
loop_
_atom_site_label
_atom_site_fract_x
_atom_site_fract_y
_atom_site_fract_z
Tb1 0.000 0.000 0.000
Tb2 0.000 0.203 0.501
As1 0.000 0.500 0.999
```

VASP energy = -41.52 eV per cell
energy relative to the elements = -0.555 eV per atom
total magnetic moment = 0.0 μB per formula unit
distance to the lowest polymorph of the same formula = 0 meV per atom